# 1
{
  "formula": "La2Sm2CI4Br",
  "functional": "GGA-PBE",
  "state": "relaxed",
  "lattice_angstrom": [[-5.5285, 6.7743, 4.6684], [-6.1115, 3.4961, 6.9768], [7.8373, 1.1040, 3.5469]],
  "species": ["Br", "C", "I", "I", "I", "I", "La", "La", "Sm", "Sm"],
  "fractional_positions": [[0.5000, 0.5000, 0.5000], [0.5000, 0.5000, 0.0000], [0.8321, 0.8321, 0.1910], [0.1609, 0.1609, 0.3658], [0.8391, 0.8391, 0.6342], [0.1679, 0.1679, 0.8090], [0.6371, 0.6371, 0.0747], [0.3629, 0.3629, 0.9253], [0.9985, 0.9985, 0.1974], [0.0015, 0.0015, 0.8026]],
  "sg": "No. 12",
  "density_g_cm3": 5.89,
  "dft_energy_ev_per_atom": -4.824
}

---

# 2
{
  "formula": "Sm2Al8Pt",
  "functional": "GGA-PBE",
  "state": "relaxed",
  "lattice_angstrom": [[-3.1590, -2.4358, 1.7087], [0.6935, -3.0263, -3.0320], [7.5354, -5.0370, 6.7511]],
  "species": ["Al", "Al", "Al", "Al", "Al", "Al", "Al", "Al", "Pt", "Sm", "Sm"],
  "fractional_positions": [[0.5000, 0.0000, 0.1232], [0.0000, 0.5000, 0.1232], [0.5000, 0.5000, 0.3030], [0.5000, 0.0000, 0.5000], [0.0000, 0.5000, 0.5000], [0.5000, 0.5000, 0.6970], [0.5000, 0.0000, 0.8768], [0.0000, 0.5000, 0.8768], [0.0000, 0.0000, 0.0000], [0.0000, 0.0000, 0.3107], [0.0000, 0.0000, 0.6893]],
  "sg": "No. 123",
  "density_g_cm3": 5.55,
  "dft_energy_ev_per_atom": -4.675
}

---

# 3
{
  "formula": "ErNbSnC",
  "functional": "GGA-PBE",
  "state": "relaxed",
  "lattice_angstrom": [[3.3513, 0.0000, 0.0000], [-1.6757, 2.9023, 0.0000], [0.0000, 0.0000, 14.9528]],
  "species": ["C", "C", "Er", "Er", "Nb", "Nb", "Sn", "Sn"],
  "fractional_positions": [[0.0000, 0.0000, 0.2704], [0.0000, 0.0000, 0.7296], [0.6667, 0.3333, 0.1753], [0.6667, 0.3333, 0.8247], [0.3333, 0.6667, 0.3468], [0.3333, 0.6667, 0.6532], [0.3333, 0.6667, 0.0000], [0.6667, 0.3333, 0.5000]],
  "sg": "No. 187",
  "density_g_cm3": 8.93,
  "de_polymorph_kj_per_mol_fu": 6
}